*A*
{
  "formula": "TcNiRu2",
  "functional": "PBE-GGA",
  "state": "optimized geometry",
  "mass_density_g_cm3": 11.1,
  "vol_a3_per_atom": 13.43,
  "lattice": [[2.677, 0.000, 0.000], [0.000, 2.677, 0.000], [0.000, 0.000, 7.499]],
  "species": ["Ru", "Ru", "Tc", "Ni"],
  "frac_coords": [[0.500, 0.500, 0.244], [0.000, 0.000, 0.995], [0.000, 0.000, 0.511], [0.500, 0.500, 0.750]]
}

*B*
{
  "formula": "TcNiRu2",
  "functional": "PBE-GGA",
  "state": "optimized geometry",
  "mass_density_g_cm3": 11.1,
  "vol_a3_per_atom": 13.46,
  "lattice": [[4.598, 0.005, 0.000], [3.815, 2.567, 0.000], [0.738, 0.226, 4.569]],
  "species": ["Tc", "Ni", "Ru", "Ru"],
  "frac_coords": [[0.750, 0.750, 0.750], [0.250, 0.250, 0.250], [0.001, 0.001, 0.005], [0.499, 0.499, 0.495]]
}

Going by the energies, *B* is most stable and the next is 24 meV/atom up.

*A*
{
  "formula": "TcNi2Ru",
  "functional": "PBE-GGA",
  "state": "optimized geometry",
  "mass_density_g_cm3": 10.3,
  "vol_a3_per_atom": 12.75,
  "lattice": [[-4.037, -1.585, -1.243], [-2.281, -2.456, -3.019], [0.083, -4.046, 2.065]],
  "species": ["Ni", "Ni", "Ru", "Tc"],
  "frac_coords": [[0.499, 0.499, 0.496], [0.001, 0.001, 0.004], [0.750, 0.750, 0.750], [0.250, 0.250, 0.250]]
}

*B*
{
  "formula": "TcNi2Ru",
  "functional": "PBE-GGA",
  "state": "optimized geometry",
  "mass_density_g_cm3": 10.4,
  "vol_a3_per_atom": 12.59,
  "lattice": [[-2.933, 3.232, 1.363], [-4.049, -1.807, 1.117], [4.296, -1.011, 1.197]],
  "species": ["Ni", "Ni", "Ru", "Tc"],
  "frac_coords": [[0.500, 0.500, 0.000], [0.000, 0.000, 0.000], [0.250, 0.750, 0.500], [0.750, 0.250, 0.500]]
}

*C*
{
  "formula": "TcNi2Ru",
  "functional": "PBE-GGA",
  "state": "optimized geometry",
  "mass_density_g_cm3": 10.4,
  "vol_a3_per_atom": 12.62,
  "lattice": [[0.000, 2.933, 2.933], [2.933, 0.000, 2.933], [2.933, 2.933, 0.000]],
  "species": ["Tc", "Ni", "Ni", "Ru"],
  "frac_coords": [[0.000, 0.000, 0.000], [0.250, 0.250, 0.250], [0.750, 0.750, 0.750], [0.500, 0.500, 0.500]]
}

Going by the energies, *B* is most stable and the next is 41 meV/atom up.

*A*
{
  "formula": "Tc3NiRu",
  "functional": "PBE-GGA",
  "state": "optimized geometry",
  "mass_density_g_cm3": 7.7,
  "vol_a3_per_atom": 19.56,
  "lattice": [[-4.146, -0.767, 1.859], [-0.763, -3.341, -3.080], [1.861, -3.079, 2.879]],
  "species": ["Tc", "Ru", "Tc", "Ni", "Tc"],
  "frac_coords": [[0.000, 0.000, 0.500], [0.000, 0.000, 0.000], [0.500, 0.000, 0.000], [0.500, 0.500, 0.500], [0.000, 0.500, 0.000]]
}

*B*
{
  "formula": "Tc3NiRu",
  "functional": "PBE-GGA",
  "state": "optimized geometry",
  "mass_density_g_cm3": 9.2,
  "vol_a3_per_atom": 16.43,
  "lattice": [[4.347, 0.000, 0.000], [0.000, 4.347, 0.000], [0.000, 0.000, 4.347]],
  "species": ["Tc", "Tc", "Tc", "Ru", "Ni"],
  "frac_coords": [[0.000, 0.000, 0.500], [0.000, 0.500, 0.000], [0.500, 0.000, 0.000], [0.500, 0.500, 0.500], [0.000, 0.000, 0.000]]
}

Going by the energies, *B* is most stable and the next is 408 meV/atom up.

*A*
{
  "formula": "NiTe3Ru",
  "functional": "PBE-GGA",
  "state": "optimized geometry",
  "mass_density_g_cm3": 6.6,
  "vol_a3_per_atom": 27.21,
  "lattice": [[5.143, 0.000, 0.000], [0.000, 5.143, 0.000], [0.000, 0.000, 5.143]],
  "species": ["Te", "Ru", "Ni", "Te", "Te"],
  "frac_coords": [[0.000, 0.500, 0.000], [0.000, 0.000, 0.000], [0.500, 0.500, 0.500], [0.000, 0.000, 0.500], [0.500, 0.000, 0.000]]
}

*B*
{
  "formula": "NiTe3Ru",
  "functional": "PBE-GGA",
  "state": "optimized geometry",
  "mass_density_g_cm3": 7.7,
  "vol_a3_per_atom": 23.41,
  "lattice": [[-1.065, 4.413, -1.821], [-4.670, -0.575, 1.336], [0.992, 2.029, 4.339]],
  "species": ["Te", "Te", "Ni", "Ru", "Te"],
  "frac_coords": [[0.500, 0.000, 0.000], [0.000, 0.000, 0.500], [0.000, 0.000, 0.000], [0.500, 0.500, 0.500], [0.000, 0.500, 0.000]]
}

Going by the energies, *B* is most stable and the next is 35 meV/atom up.